Entry from Alexandria via LeMat-Bulk: a geometry-optimized Ba2Mg6ZnPd structure (GGA-PBE).

Cell lengths 7.4035, 7.4035, 7.3983 Å; angles 59.97, 59.97, 90.04 degrees
Fractional coordinates of all 10 atoms:
Ba: 0.2499 0.7501 0.5000
Ba: 0.7501 0.2499 0.5000
Mg: 0.2548 0.7452 0.0000
Mg: 0.7451 0.7451 0.0002
Mg: 0.2549 0.2549 0.4904
Mg: 0.7452 0.2548 0.0000
Mg: 0.2549 0.2549 0.9998
Mg: 0.7451 0.7451 0.5096
Zn: 0.0000 0.0000 0.0000
Pd: 0.5000 0.5000 0.0000

## Properties
- total DFT energy (no corrections) (eV per atom) = -2.163
- M_tot (μB per formula unit) = 0.1
- energy relative to the elements (eV/atom) = -0.175

Entry from Alexandria via LeMat-Bulk: a geometry-optimized Al2H6O structure (GGA-PBE).

Cell lengths 4.3237, 4.3237, 4.3237 Å; angles 60.00, 60.00, 60.00 degrees
Fractional coordinates of all 9 atoms:
H: 0.3405 0.6595 0.3405
H: 0.6595 0.3405 0.3405
H: 0.3405 0.6595 0.6595
H: 0.6595 0.3405 0.6595
H: 0.6595 0.6595 0.3405
H: 0.3405 0.3405 0.6595
Al: 0.7500 0.7500 0.7500
Al: 0.2500 0.2500 0.2500
O: 0.0000 0.0000 0.0000

## Properties
- total DFT energy (no corrections) (eV per atom) = -2.972
- ΔE to the lowest computed polymorph (eV per atom) = 1.022
- M_tot (μB per formula unit) = 0.0

Entry from Alexandria via LeMat-Bulk: a geometry-optimized TaV2Cu structure (GGA-PBE).

Cell lengths 4.0888, 3.7550, 3.7550 Å; angles 90.00, 90.00, 90.00 degrees
Fractional coordinates of all 4 atoms:
V: 0.0000 0.0000 0.5000
V: 0.0000 0.5000 0.0000
Cu: 0.5000 0.5000 0.5000
Ta: 0.5000 0.0000 0.0000

## Properties
- total DFT energy (no corrections) (eV per atom) = -8.401
- ΔE to the lowest computed polymorph (eV per atom) = 0.000
- M_tot (μB per formula unit) = 0.0
- energy relative to the elements (eV/atom) = 0.146